18
Lattice="5.071 0.000 0.000 0.000 5.071 0.000 0.000 0.000 10.155" Properties=species:S:1:pos:R:3 comment="NaCaVF6 (GGA+U, optimized geometry)" crystal_system=tetragonal density_kg_m3=2900 e_tot_ry_per_atom=-0.417 pbc="T T T"
Na 2.535 2.535 5.080
Na 0.000 0.000 0.002
Ca 2.535 2.535 1.703
Ca 0.000 0.000 6.780
V 2.535 2.535 8.463
V 0.000 0.000 3.385
F 0.927 4.143 4.892
F 4.143 0.927 4.892
F 1.608 1.608 9.969
F 3.463 3.463 9.969
F 0.950 4.121 1.908
F 4.121 0.950 1.908
F 1.586 1.586 6.986
F 3.485 3.485 6.986
F 3.929 1.142 8.426
F 1.142 3.929 8.426
F 3.677 3.677 3.349
F 1.394 1.394 3.349